[1]
Compound: NdScPd
Source: OQMD
Functional: PBE
Structure: relaxed

Summary:
- Crystal system: cubic
- Energy above the lowest structure with this stoichiometry: 0.6281 eV per atom
- Symmetry: F-43m, No. 216
- Formation energy from the elements: 0.252 eV/atom
- Volume: 25.1 A^3/atom

Cell and atoms, written as extended XYZ:
```
3
Lattice="0.000 3.352 3.352 3.352 0.000 3.352 3.352 3.352 0.000" Properties=species:S:1:pos:R:3 pbc="T T T"
Nd 0.000 0.000 0.000
Sc 1.676 1.676 1.676
Pd 5.028 5.028 5.028
```

=====

[2]
Compound: TaZnNiPt
Source: OQMD
Functional: PBE
Structure: relaxed

Summary:
- Crystal system: cubic
- Energy above the lowest structure with this stoichiometry: 0.0000 eV per atom
- Symmetry: F-43m, No. 216
- Formation energy from the elements: -0.390 eV/atom
- Volume: 14.7 A^3/atom

Cell and atoms, written as extended XYZ:
```
4
Lattice="0.000 3.087 3.087 3.087 0.000 3.087 3.087 3.087 0.000" Properties=species:S:1:pos:R:3 pbc="T T T"
Ta 0.000 0.000 0.000
Zn 3.087 3.087 3.087
Ni 4.631 4.631 4.631
Pt 1.544 1.544 1.544
```

=====

[3]
Compound: Nb
Source: OQMD
Functional: PBE
Structure: relaxed

Summary:
- Crystal system: tetragonal
- Energy above the lowest structure with this stoichiometry: 0.1449 eV per atom
- Symmetry: I4/mmm, No. 139
- Formation energy from the elements: 0.145 eV/atom
- Volume: 18.6 A^3/atom

Cell and atoms, written as extended XYZ:
```
1
Lattice="-1.376 1.376 2.458 1.376 -1.376 2.458 1.376 1.376 -2.458" Properties=species:S:1:pos:R:3 pbc="T T T"
Nb 0.000 0.000 0.000
```

=====

[4]
Compound: ZrAlFe2
Source: OQMD
Functional: PBE
Structure: relaxed

Summary:
- Crystal system: cubic
- Raw total energy: -7.305 eV per atom
- Symmetry: F-43m, No. 216
- Volume: 14.5 A^3/atom

Cell and atoms, written as extended XYZ:
```
4
Lattice="0.000 3.074 3.074 3.074 0.000 3.074 3.074 3.074 0.000" Properties=species:S:1:pos:R:3 pbc="T T T"
Zr 0.000 0.000 0.000
Al 4.611 4.611 4.611
Fe 1.537 1.537 1.537
Fe 3.074 3.074 3.074
```